Compound: Cu2N2O
Source: Alexandria via LeMat-Bulk
Functional: SCAN
Structure: single point on PBEsol structure

- formation energy from raw total energies (eV per atom) = -0.13
- DFT total energy (eV per atom) = -11.172
- total moment (μB per cell) = 0.0

CIF file:
```
data_Cu2N2O
_cell_length_a 5.176
_cell_length_b 5.176
_cell_length_c 6.231
_cell_angle_alpha 90.00
_cell_angle_beta 90.00
_cell_angle_gamma 90.00
_space_group_name_H-M_alt 'P 4/m b m'
_space_group_IT_number 127
_space_group_name_Hall '-P 4 2ab'
loop_
_atom_site_label
_atom_site_type_symbol
_atom_site_fract_x
_atom_site_fract_y
_atom_site_fract_z
_atom_site_occupancy
Cu1 Cu 0.247 0.253 0.000 1
N1 N 0.076 0.424 0.500 1
O1 O 0.000 0.000 0.000 1
```

=====

Compound: EuTiO3
Source: Alexandria via LeMat-Bulk
Functional: SCAN
Structure: single point on PBEsol structure

- formation energy from raw total energies (eV per atom) = -3.45
- DFT total energy (eV per atom) = -21.138
- Fermi-level density of states (states/eV/f.u.) = 9.15
- total moment (μB per cell) = 6.9

CIF file:
```
data_EuTiO3
_cell_length_a 3.883
_cell_length_b 3.883
_cell_length_c 3.883
_cell_angle_alpha 90.00
_cell_angle_beta 90.00
_cell_angle_gamma 90.00
_space_group_name_H-M_alt 'P m -3 m'
_space_group_IT_number 221
_space_group_name_Hall '-P 4 2 3'
loop_
_atom_site_label
_atom_site_type_symbol
_atom_site_fract_x
_atom_site_fract_y
_atom_site_fract_z
_atom_site_occupancy
Eu1 Eu 0.000 0.000 0.000 1
Ti1 Ti 0.500 0.500 0.500 1
O1 O 0.000 0.500 0.500 1
```

=====

Compound: InRu2Se
Source: Alexandria via LeMat-Bulk
Functional: SCAN
Structure: single point on PBEsol structure

- formation energy from raw total energies (eV per atom) = 0.21
- DFT total energy (eV per atom) = -30.572
- Fermi-level density of states (states/eV/f.u.) = 2.08
- total moment (μB per cell) = 0.0

CIF file:
```
data_InRu2Se
_cell_length_a 8.136
_cell_length_b 2.982
_cell_length_c 5.424
_cell_angle_alpha 90.00
_cell_angle_beta 101.74
_cell_angle_gamma 90.00
_space_group_name_H-M_alt 'C 1 2/m 1'
_space_group_IT_number 12
_space_group_name_Hall '-C 2y'
loop_
_atom_site_label
_atom_site_type_symbol
_atom_site_fract_x
_atom_site_fract_y
_atom_site_fract_z
_atom_site_occupancy
In1 In 0.000 0.000 0.000 1
Ru1 Ru 0.249 0.000 0.705 1
Se1 Se 0.000 0.500 0.500 1
```

=====

Compound: AlPbCl2
Source: Alexandria via LeMat-Bulk
Functional: SCAN
Structure: single point on PBEsol structure

- formation energy from raw total energies (eV per atom) = -0.29
- DFT total energy (eV per atom) = -25.164
- Fermi-level density of states (states/eV/f.u.) = 1.59
- total moment (μB per cell) = 0.0

CIF file:
```
data_AlPbCl2
_cell_length_a 7.188
_cell_length_b 7.188
_cell_length_c 7.188
_cell_angle_alpha 90.00
_cell_angle_beta 90.00
_cell_angle_gamma 90.00
_space_group_name_H-M_alt 'F m -3 m'
_space_group_IT_number 225
_space_group_name_Hall '-F 4 2 3'
loop_
_atom_site_label
_atom_site_type_symbol
_atom_site_fract_x
_atom_site_fract_y
_atom_site_fract_z
_atom_site_occupancy
Al1 Al 0.000 0.000 0.000 1
Pb1 Pb 0.000 0.000 0.500 1
Cl1 Cl 0.250 0.250 0.250 1
```

=====

Compound: CdTe2BrO
Source: Alexandria via LeMat-Bulk
Functional: SCAN
Structure: single point on PBEsol structure

- formation energy from raw total energies (eV per atom) = 0.38
- DFT total energy (eV per atom) = -25.742
- Fermi-level density of states (states/eV/f.u.) = 4.88
- total moment (μB per cell) = 0.0

CIF file:
```
data_CdTe2BrO
_cell_length_a 5.708
_cell_length_b 5.708
_cell_length_c 3.924
_cell_angle_alpha 90.00
_cell_angle_beta 90.00
_cell_angle_gamma 90.00
_space_group_name_H-M_alt 'P 4/m m m'
_space_group_IT_number 123
_space_group_name_Hall '-P 4 2'
loop_
_atom_site_label
_atom_site_type_symbol
_atom_site_fract_x
_atom_site_fract_y
_atom_site_fract_z
_atom_site_occupancy
Cd1 Cd 0.000 0.000 0.000 1
Te1 Te 0.000 0.500 0.000 1
Br1 Br 0.500 0.500 0.500 1
O1 O 0.000 0.000 0.500 1
```

=====

Compound: La2MnHg
Source: Alexandria via LeMat-Bulk
Functional: SCAN
Structure: single point on PBEsol structure

- DFT total energy (eV per atom) = -43.164
- Fermi-level density of states (states/eV/f.u.) = 3.15
- ΔE_f (eV/atom) = -0.01
- total moment (μB per cell) = 11.4

CIF file:
```
data_La2MnHg
_cell_length_a 3.5245
_cell_length_b 3.5245
_cell_length_c 29.3491
_cell_angle_alpha 90.00
_cell_angle_beta 90.00
_cell_angle_gamma 120.00
_space_group_name_H-M_alt 'R 3 m'
_space_group_IT_number 160
_space_group_name_Hall 'R 3 -2"'
loop_
_atom_site_label
_atom_site_type_symbol
_atom_site_fract_x
_atom_site_fract_y
_atom_site_fract_z
_atom_site_occupancy
La1 La 0.0000 0.0000 0.0000 1
La2 La 0.0000 0.0000 0.2294 1
Mn1 Mn 0.0000 0.0000 0.7455 1
Hg1 Hg 0.0000 0.0000 0.4748 1
```

=====

> The lowest DFT total energy belongs to which entry?

La2MnHg